(1)
# CaPmGa2, optimized geometry, DFT PBE
data_CaPmGa2
_chemical_formula_sum 'Ca1 Pm1 Ga2'
_cell_length_a 3.6518
_cell_length_b 3.6518
_cell_length_c 7.4216
_cell_angle_alpha 90.00
_cell_angle_beta 90.00
_cell_angle_gamma 90.00
_symmetry_space_group_name_H-M 'P 4/m m m'
_symmetry_Int_Tables_number 123
_symmetry_space_group_name_Hall '-P 4 2'
loop_
_atom_site_label
_atom_site_fract_x
_atom_site_fract_y
_atom_site_fract_z
Ca1 0.0000 0.0000 0.0000
Pm1 0.0000 0.0000 0.5000
Ga1 0.5000 0.5000 0.2492
# **Final energy**: -3.7058 eV per atom
# **Fermi-level density of states**: 1.98 states/eV/f.u.


(2)
# CaPm2Ga3, optimized geometry, DFT PBE
data_CaPm2Ga3
_chemical_formula_sum 'Ca1 Pm2 Ga3'
_cell_length_a 3.6342
_cell_length_b 3.6342
_cell_length_c 11.2283
_cell_angle_alpha 90.00
_cell_angle_beta 90.00
_cell_angle_gamma 90.00
_symmetry_space_group_name_H-M 'P 4/m m m'
_symmetry_Int_Tables_number 123
_symmetry_space_group_name_Hall '-P 4 2'
loop_
_atom_site_label
_atom_site_fract_x
_atom_site_fract_y
_atom_site_fract_z
Ca1 0.0000 0.0000 0.0000
Pm1 0.0000 0.0000 0.3300
Ga1 0.5000 0.5000 0.1634
Ga2 0.5000 0.5000 0.5000
# **Final energy**: -3.9450 eV per atom
# **Fermi-level density of states**: 4.35 states/eV/f.u.


(3)
# CaPm3Ga8, optimized geometry, DFT PBE
data_CaPm3Ga8
_chemical_formula_sum 'Ca3 Pm9 Ga24'
_cell_length_a 5.5921
_cell_length_b 5.5921
_cell_length_c 27.6138
_cell_angle_alpha 90.00
_cell_angle_beta 90.00
_cell_angle_gamma 120.00
_symmetry_space_group_name_H-M 'R 3 m'
_symmetry_Int_Tables_number 160
_symmetry_space_group_name_Hall 'R 3 -2"'
loop_
_atom_site_label
_atom_site_fract_x
_atom_site_fract_y
_atom_site_fract_z
Ca1 0.0000 0.0000 0.0000
Pm1 0.0000 0.0000 0.1225
Pm2 0.0000 0.0000 0.4997
Pm3 0.0000 0.0000 0.6264
Ga1 0.0000 0.0000 0.3124
Ga2 0.0000 0.0000 0.8121
Ga3 0.0012 0.5006 0.0632
Ga4 0.1672 0.3345 0.8950
# **Final energy**: -3.9115 eV per atom
# **Fermi-level density of states**: 5.73 states/eV/f.u.


(4)
# Ca3PmGa2, optimized geometry, DFT PBE
data_Ca3PmGa2
_chemical_formula_sum 'Ca6 Pm2 Ga4'
_cell_length_a 5.0566
_cell_length_b 9.5317
_cell_length_c 7.1878
_cell_angle_alpha 90.00
_cell_angle_beta 90.00
_cell_angle_gamma 90.00
_symmetry_space_group_name_H-M 'P m c 21'
_symmetry_Int_Tables_number 26
loop_
_symmetry_equiv_pos_as_xyz
'x,y,z'
'-x,-y,z+1/2'
'-x,y,z'
'x,-y,z+1/2'
loop_
_atom_site_label
_atom_site_fract_x
_atom_site_fract_y
_atom_site_fract_z
Ca1 0.0000 0.0663 0.0000
Ca2 0.0000 0.3143 0.3660
Ca3 0.5000 0.1758 0.6907
Pm1 0.5000 0.4411 0.0543
Ga1 0.0000 0.3683 0.8012
Ga2 0.5000 0.1481 0.2499
# **Final energy**: -3.1584 eV per atom
# **Fermi-level density of states**: 6.02 states/eV/f.u.


(5)
# CaPmGa3, optimized geometry, DFT PBE
data_CaPmGa3
_chemical_formula_sum 'Ca4 Pm4 Ga12'
_cell_length_a 4.3594
_cell_length_b 26.2190
_cell_length_c 4.2633
_cell_angle_alpha 90.00
_cell_angle_beta 90.00
_cell_angle_gamma 90.00
_symmetry_space_group_name_H-M 'C m c m'
_symmetry_Int_Tables_number 63
_symmetry_space_group_name_Hall '-C 2c 2'
loop_
_atom_site_label
_atom_site_fract_x
_atom_site_fract_y
_atom_site_fract_z
Ca1 0.0000 0.0734 0.2500
Pm1 0.0000 0.2040 0.7500
Ga1 0.0000 0.3252 0.7500
Ga2 0.0000 0.3810 0.2500
Ga3 0.0000 0.4758 0.2500
# **Final energy**: -3.6905 eV per atom
# **Excess energy over the best structure of this formula in the dataset**: 75 meV per atom
# **Fermi-level density of states**: 4.34 states/eV/f.u.


(6)
# CaPm8Ga6, optimized geometry, DFT PBE
data_CaPm8Ga6
_chemical_formula_sum 'Ca3 Pm24 Ga18'
_cell_length_a 8.9117
_cell_length_b 8.9117
_cell_length_c 18.7349
_cell_angle_alpha 90.00
_cell_angle_beta 90.00
_cell_angle_gamma 120.00
_symmetry_space_group_name_H-M 'R -3'
_symmetry_Int_Tables_number 148
_symmetry_space_group_name_Hall '-R 3'
loop_
_atom_site_label
_atom_site_fract_x
_atom_site_fract_y
_atom_site_fract_z
Ca1 0.0000 0.0000 0.0000
Pm1 0.0000 0.0000 0.3350
Pm2 0.0005 0.3283 0.1106
Ga1 0.0011 0.3325 0.2759
# **Final energy**: -4.2260 eV per atom
# **Fermi-level density of states**: 19.65 states/eV/f.u.


(7)
# CaPmGa4, optimized geometry, DFT PBE
data_CaPmGa4
_chemical_formula_sum 'Ca4 Pm4 Ga16'
_cell_length_a 7.9296
_cell_length_b 7.9296
_cell_length_c 7.9296
_cell_angle_alpha 90.00
_cell_angle_beta 90.00
_cell_angle_gamma 90.00
_symmetry_space_group_name_H-M 'F -4 3 m'
_symmetry_Int_Tables_number 216
_symmetry_space_group_name_Hall 'F -4 2 3'
loop_
_atom_site_label
_atom_site_fract_x
_atom_site_fract_y
_atom_site_fract_z
Ca1 0.0000 0.0000 0.0000
Pm1 0.2500 0.2500 0.2500
Ga1 0.1247 0.1247 0.6247
# **Final energy**: -3.6362 eV per atom
# **Excess energy over the best structure of this formula in the dataset**: 78 meV per atom
# **Fermi-level density of states**: 3.51 states/eV/f.u.


(8)
# CaPm5Ga4, optimized geometry, DFT PBE
data_CaPm5Ga4
_chemical_formula_sum 'Ca1 Pm5 Ga4'
_cell_length_a 3.6538
_cell_length_b 3.6538
_cell_length_c 20.6083
_cell_angle_alpha 90.00
_cell_angle_beta 90.00
_cell_angle_gamma 90.00
_symmetry_space_group_name_H-M 'P 4/m m m'
_symmetry_Int_Tables_number 123
_symmetry_space_group_name_Hall '-P 4 2'
loop_
_atom_site_label
_atom_site_fract_x
_atom_site_fract_y
_atom_site_fract_z
Ca1 0.0000 0.0000 0.0000
Pm1 0.5000 0.5000 0.1437
Pm2 0.5000 0.5000 0.3212
Pm3 0.5000 0.5000 0.5000
Ga1 0.0000 0.0000 0.2287
Ga2 0.0000 0.0000 0.4104
# **Final energy**: -4.2214 eV per atom
# **Fermi-level density of states**: 5.83 states/eV/f.u.


(9)
# CaPm2Ga3Pt4, optimized geometry, DFT PBE
data_CaPm2Ga3Pt4
_chemical_formula_sum 'Ca1 Pm2 Ga3 Pt4'
_cell_length_a 4.1812
_cell_length_b 4.1812
_cell_length_c 11.7132
_cell_angle_alpha 90.00
_cell_angle_beta 90.00
_cell_angle_gamma 90.00
_symmetry_space_group_name_H-M 'P -4 m 2'
_symmetry_Int_Tables_number 115
loop_
_symmetry_equiv_pos_as_xyz
'x,y,z'
'y,-x,-z'
'-x,-y,z'
'-y,x,-z'
'-x,y,z'
'-y,-x,-z'
'x,-y,z'
'y,x,-z'
loop_
_atom_site_label
_atom_site_fract_x
_atom_site_fract_y
_atom_site_fract_z
Ca1 0.0000 0.0000 0.0000
Pm1 0.0000 0.5000 0.7290
Ga1 0.0000 0.5000 0.3749
Ga2 0.5000 0.5000 0.0000
Pt1 0.0000 0.0000 0.5000
Pt2 0.0000 0.5000 0.1615
Pt3 0.5000 0.5000 0.5000
# **Final energy**: -5.3841 eV per atom
# **Fermi-level density of states**: 5.09 states/eV/f.u.


(10)
# CaPmGa2Pt2, optimized geometry, DFT PBE
data_CaPmGa2Pt2
_chemical_formula_sum 'Ca1 Pm1 Ga2 Pt2'
_cell_length_a 4.4286
_cell_length_b 4.4286
_cell_length_c 7.6073
_cell_angle_alpha 90.00
_cell_angle_beta 90.00
_cell_angle_gamma 120.00
_symmetry_space_group_name_H-M 'P -3 m 1'
_symmetry_Int_Tables_number 164
_symmetry_space_group_name_Hall '-P 3 2"'
loop_
_atom_site_label
_atom_site_fract_x
_atom_site_fract_y
_atom_site_fract_z
Ca1 0.0000 0.0000 0.0000
Pm1 0.0000 0.0000 0.5000
Ga1 0.3333 0.6667 0.7508
Pt1 0.3333 0.6667 0.2618
# **Final energy**: -5.1054 eV per atom
# **Fermi-level density of states**: 2.09 states/eV/f.u.


- What is the formula in the fifth record?
  CaPmGa3


Copy entry 6 word for word.
# CaPm8Ga6, optimized geometry, DFT PBE
data_CaPm8Ga6
_chemical_formula_sum 'Ca3 Pm24 Ga18'
_cell_length_a 8.9117
_cell_length_b 8.9117
_cell_length_c 18.7349
_cell_angle_alpha 90.00
_cell_angle_beta 90.00
_cell_angle_gamma 120.00
_symmetry_space_group_name_H-M 'R -3'
_symmetry_Int_Tables_number 148
_symmetry_space_group_name_Hall '-R 3'
loop_
_atom_site_label
_atom_site_fract_x
_atom_site_fract_y
_atom_site_fract_z
Ca1 0.0000 0.0000 0.0000
Pm1 0.0000 0.0000 0.3350
Pm2 0.0005 0.3283 0.1106
Ga1 0.0011 0.3325 0.2759
# **Final energy**: -4.2260 eV per atom
# **Fermi-level density of states**: 19.65 states/eV/f.u.